# Sm2Y6Pu

A relaxed structure of Sm2Y6Pu (GGA-PBE, Alexandria via LeMat-Bulk).

energy relative to the elements = 0.2463 eV per atom
raw total energy = -6.70 eV/atom

a b c (Å): 7.359 7.702 12.807
angles (deg): 127.01 90.00 90.00
Fractional coordinates of all 18 atoms:
Y 0.500 0.216 0.715
Y 0.736 0.721 0.500
Y 0.000 0.284 0.785
Sm 0.000 0.262 0.262
Sm 0.500 0.238 0.238
Pu 0.000 0.000 0.500
Y 0.764 0.779 0.000
Y 0.264 0.279 0.500
Sm 0.500 0.762 0.762
Y 0.764 0.221 0.000
Pu 0.500 0.500 0.000
Y 0.236 0.221 0.000
Y 0.264 0.721 0.500
Y 0.236 0.779 0.000
Y 0.736 0.279 0.500
Y 0.500 0.784 0.285
Sm 0.000 0.738 0.738
Y 0.000 0.716 0.215